Computed, not measured: an optimized crystal structure of PaZnCdAg at the PBE level of DFT.

- Magnetization: 0.22 μB per formula unit
- Symmetry: F-43m, No. 216
- Density: 10.23 g cm⁻³
- Formation enthalpy at 0 K: 69 meV/atom
- Final energy: -3.56 eV/atom

Structure (POSCAR):
```
PaZnCdAg
1.0
-2.279 -4.079 1.520
0.875 -4.284 -2.241
2.536 -3.512 2.318
Pa Ag Cd Zn
1 1 1 1
Cartesian
0.283 -2.969 0.399
0.000 0.000 0.000
0.849 -8.906 1.197
0.566 -5.937 0.798
```

***

Computed, not measured: an optimized crystal structure of Gd2ScC at the PBE level of DFT.

- Magnetization: 15.08 μB per formula unit
- Symmetry: R-3m, No. 166
- Density: 6.16 g cm⁻³
- Formation enthalpy at 0 K: 11 meV/atom
- Final energy: -10.92 eV/atom

Structure (POSCAR):
```
Gd2ScC
1.0
3.513 0.000 0.000
1.756 3.042 0.000
1.756 1.014 9.374
Gd Sc C
2 1 1
Cartesian
5.269 3.042 3.306
1.756 1.014 6.069
0.000 0.000 0.000
3.513 2.028 4.687
```

***

Computed, not measured: an optimized crystal structure of Tb3Dy2Er6In at the PBE level of DFT.

- Magnetization: 0.01 μB per formula unit
- Symmetry: C2/m, No. 12
- Density: 8.82 g cm⁻³
- Formation enthalpy at 0 K: -43 meV/atom
- Final energy: -4.48 eV/atom

Structure (POSCAR):
```
Tb3Dy2Er6In
1.0
6.053 -0.002 -0.002
-3.027 5.242 -0.002
-1.010 -1.749 11.399
Tb Er In Dy
3 6 1 2
Cartesian
1.008 1.745 5.697
-2.018 3.493 5.697
4.034 -0.002 5.697
2.028 3.512 2.819
1.988 -0.004 2.807
-0.012 -0.021 8.576
3.013 1.771 8.588
-0.997 1.720 2.807
0.028 3.495 8.588
0.000 0.000 0.000
0.005 3.491 -0.002
3.022 1.749 -0.002
```

***

Question: Look up the formation enthalpy at 0 K of the third one.
Answer: -43 meV/atom